Record 1
PmSc2O after structural relaxation, computed with PBE-GGA.

## Properties
**Space group**: R-3m (166)
**Excess energy over the best structure of this formula in the dataset**: 0 meV/atom
**V**: 82 Å³ per cell
**Final energy**: -27.5 eV per cell
**Density of states at the Fermi level**: 1.1181 states/eV/atom

a b c (Å): 3.2646 3.2646 9.0713
angles (deg): 79.63 79.63 60.00
Fractional coordinates of all 4 atoms:
Sc: 0.1215 0.1215 0.6354
Sc: 0.8785 0.8785 0.3646
O: 0.5000 0.5000 0.5000
Pm: 0.0000 0.0000 0.0000



Record 2
SbSeS2 after structural relaxation, computed with PBE-GGA.

## Properties
**Space group**: R-3m (166)
**Excess energy over the best structure of this formula in the dataset**: 177 meV/atom
**V**: 105 Å³ per cell
**Final energy**: -15.3 eV per cell
**Density of states at the Fermi level**: 0.9763 states/eV/atom

a b c (Å): 8.3321 8.3321 8.3321
angles (deg): 27.05 27.05 27.05
Fractional coordinates of all 4 atoms:
Sb: 0.5000 0.5000 0.5000
S: 0.9002 0.9002 0.9002
S: 0.0998 0.0998 0.0998
Se: 0.0000 0.0000 0.0000



Record 3
SbIrRh2 after structural relaxation, computed with PBE-GGA.

## Properties
**Space group**: Cm (8)
**V**: 64 Å³ per cell
**Final energy**: -27.6 eV per cell
**Density of states at the Fermi level**: 1.0884 states/eV/atom

a b c (Å): 4.7861 4.7861 4.8011
angles (deg): 78.55 78.55 36.21
Fractional coordinates of all 4 atoms:
Sb: 0.5006 0.5006 0.5066
Ir: 0.2473 0.2473 0.2341
Rh: 0.9985 0.9985 0.0054
Rh: 0.7536 0.7536 0.7539



Record 4
LiTaOs4 after structural relaxation, computed with PBE-GGA.

## Properties
**Space group**: F-43m (216)
**V**: 96 Å³ per cell
**ΔH_f (0 K)**: 118 kJ/mol of formula units
**Final energy**: -57.5 eV per cell
**Density of states at the Fermi level**: 1.0754 states/eV/atom

a b c (Å): 5.1339 5.1339 5.1339
angles (deg): 60.00 60.00 60.00
Fractional coordinates of all 6 atoms:
Li: 0.0000 0.0000 0.0000
Ta: 0.7500 0.7500 0.7500
Os: 0.8759 0.3747 0.3747
Os: 0.3747 0.3747 0.8759
Os: 0.3747 0.8759 0.3747
Os: 0.3747 0.3747 0.3747



Record 5
Cu3Pd6Au2 after structural relaxation, computed with PBE-GGA.

## Properties
**Space group**: P-1 (2)
**V**: 173 Å³ per cell
**ΔH_f (0 K)**: 18 kJ/mol of formula units
**Final energy**: -49.8 eV per cell
**Density of states at the Fermi level**: 0.9823 states/eV/atom

a b c (Å): 4.6249 6.6799 12.5733
angles (deg): 41.51 74.01 104.40
Fractional coordinates of all 11 atoms:
Cu: 0.0000 0.0000 0.0000
Cu: 0.6800 0.8057 0.2953
Cu: 0.3200 0.1943 0.7047
Pd: 0.9430 0.5084 0.8920
Pd: 0.8037 0.3173 0.7678
Pd: 0.0570 0.4916 0.1080
Pd: 0.1963 0.6827 0.2322
Pd: 0.6198 0.8000 0.5739
Pd: 0.3802 0.2000 0.4261
Au: 0.2339 0.9909 0.3043
Au: 0.7661 0.0091 0.6957



Record 6
Hf2InGe after structural relaxation, computed with PBE-GGA.

## Properties
**Space group**: R-3m (166)
**Excess energy over the best structure of this formula in the dataset**: 0 meV/atom
**V**: 83 Å³ per cell
**ΔH_f (0 K)**: -61 kJ/mol of formula units
**Final energy**: -27.9 eV per cell
**Density of states at the Fermi level**: 0.5687 states/eV/atom

a b c (Å): 3.1608 3.1608 9.8046
angles (deg): 80.72 80.72 60.00
Fractional coordinates of all 4 atoms:
Ge: 0.0000 0.0000 0.0000
Hf: 0.7452 0.7452 0.7645
Hf: 0.2548 0.2548 0.2355
In: 0.5000 0.5000 0.5000